No. 1
First-principles (PBE) data for a geometry-optimized K2PmAu2O6 structure, as listed in the Alexandria database.

Results
Crystal system = monoclinic
E_tot = -4.96 eV per atom

Cell: 6.5513 6.5513 7.7276 Å, 119.91 119.91 53.42°
Atoms (fractional coordinates):
K  0.2172  0.2172  0.1158
K  0.7828  0.7828  0.8842
Pm  0.0000  0.0000  0.5000
Au  0.4172  0.4172  0.7287
Au  0.5828  0.5828  0.2713
O  0.2184  0.6885  0.2413
O  0.2399  0.2399  0.6882
O  0.3115  0.7816  0.7587
O  0.6885  0.2184  0.2413
O  0.7601  0.7601  0.3118
O  0.7816  0.3115  0.7587

***

No. 2
First-principles (PBE) data for a geometry-optimized TaNbB3 structure, as listed in the Alexandria database.

Results
Crystal system = cubic
Energy relative to the elements = 1.239 eV per atom
Energy relative to the lowest polymorph listed for this composition = 2.001 eV/atom

Cell: 4.1071 4.1071 4.1071 Å, 90.00 90.00 90.00°
Atoms (fractional coordinates):
Ta  0.0000  0.0000  0.0000
Nb  0.5000  0.5000  0.5000
B  0.0000  0.0000  0.5000
B  0.0000  0.5000  0.0000
B  0.5000  0.0000  0.0000

***

No. 3
First-principles (PBE) data for a geometry-optimized TlV2Sn structure, as listed in the Alexandria database.

Results
Crystal system = tetragonal
Energy relative to the elements = 0.763 eV per atom
Energy relative to the lowest polymorph listed for this composition = 0.293 eV/atom

Cell: 6.0019 6.0019 6.0019 Å, 103.73 103.73 121.68°
Atoms (fractional coordinates):
Tl  0.0000  0.0000  0.0000
Tl  0.7500  0.2500  0.5000
V  0.1325  0.6250  0.0075
V  0.3750  0.3825  0.5075
V  0.6175  0.1250  0.9925
V  0.8750  0.8675  0.4925
Sn  0.2500  0.7500  0.5000
Sn  0.5000  0.5000  0.0000

***

No. 4
First-principles (PBE) data for a geometry-optimized Pr12CdHg6 structure, as listed in the Alexandria database.

Results
Crystal system = trigonal
Energy relative to the elements = -0.224 eV per atom

Cell: 9.2774 9.2774 9.2774 Å, 110.99 110.99 110.99°
Atoms (fractional coordinates):
Pr  0.0799  0.1672  0.7268
Pr  0.1672  0.7268  0.0799
Pr  0.1897  0.3437  0.4768
Pr  0.2732  0.9201  0.8328
Pr  0.3437  0.4768  0.1897
Pr  0.4768  0.1897  0.3437
Pr  0.5232  0.8103  0.6563
Pr  0.6563  0.5232  0.8103
Pr  0.7268  0.0799  0.1672
Pr  0.8103  0.6563  0.5232
Pr  0.8328  0.2732  0.9201
Pr  0.9201  0.8328  0.2732
Cd  0.0000  0.0000  0.0000
Hg  0.0761  0.5908  0.3581
Hg  0.3581  0.0761  0.5908
Hg  0.4092  0.6419  0.9239
Hg  0.5908  0.3581  0.0761
Hg  0.6419  0.9239  0.4092
Hg  0.9239  0.4092  0.6419

***

No. 5
First-principles (PBE) data for a geometry-optimized ZnTc3P structure, as listed in the Alexandria database.

Results
Crystal system = cubic
Energy relative to the elements = 1.878 eV per atom
Energy relative to the lowest polymorph listed for this composition = 1.399 eV/atom

Cell: 4.5090 4.5090 4.5090 Å, 90.00 90.00 90.00°
Atoms (fractional coordinates):
Zn  0.0000  0.0000  0.0000
Tc  0.0000  0.0000  0.5000
Tc  0.0000  0.5000  0.0000
Tc  0.5000  0.0000  0.0000
P  0.5000  0.5000  0.5000

***

No. 6
First-principles (PBE) data for a geometry-optimized Tm3HgPt structure, as listed in the Alexandria database.

Results
Crystal system = orthorhombic
Energy relative to the elements = -0.707 eV per atom
Energy relative to the lowest polymorph listed for this composition = 0.000 eV/atom

Cell: 4.6558 6.7444 8.3416 Å, 90.00 90.00 90.00°
Atoms (fractional coordinates):
Tm  0.2500  0.0002  0.1615
Tm  0.2500  0.2500  0.5548
Tm  0.2500  0.4998  0.1615
Tm  0.7500  0.9998  0.8385
Tm  0.7500  0.5002  0.8385
Tm  0.7500  0.7500  0.4452
Hg  0.2500  0.7500  0.6751
Hg  0.7500  0.2500  0.3249
Pt  0.2500  0.2500  0.8902
Pt  0.7500  0.7500  0.1098

***

No. 7
First-principles (PBE) data for a geometry-optimized Sm3YTm6Th2 structure, as listed in the Alexandria database.

Results
Crystal system = monoclinic
Energy relative to the elements = 0.021 eV per atom

Cell: 6.1527 6.1527 11.6768 Å, 95.05 95.05 119.98°
Atoms (fractional coordinates):
Sm  0.0000  0.0000  0.0000
Sm  0.3338  0.6662  0.0000
Sm  0.6662  0.3338  0.0000
Y  0.5000  0.5000  0.5000
Tm  0.0796  0.4176  0.2534
Tm  0.2444  0.2444  0.7469
Tm  0.4176  0.0796  0.2534
Tm  0.5824  0.9204  0.7466
Tm  0.7556  0.7556  0.2531
Tm  0.9204  0.5824  0.7466
Th  0.1666  0.8334  0.5000
Th  0.8334  0.1666  0.5000

***

No. 8
First-principles (PBE) data for a geometry-optimized NdHoEr4 structure, as listed in the Alexandria database.

Results
Crystal system = cubic
Energy relative to the elements = 0.279 eV per atom
Energy relative to the lowest polymorph listed for this composition = 0.258 eV/atom

Cell: 6.5539 6.5539 6.5539 Å, 60.00 60.00 60.00°
Atoms (fractional coordinates):
Nd  0.0000  0.0000  0.0000
Ho  0.2500  0.2500  0.2500
Er  0.1263  0.6246  0.6246
Er  0.6246  0.1263  0.6246
Er  0.6246  0.6246  0.1263
Er  0.6246  0.6246  0.6246